A plane-wave DFT calculation with PBE was carried out for an optimized crystal structure of Na2CuSnSe4.

Structure (CIF):
```
data_Na2CuSnSe4
_chemical_formula_sum 'Na4 Cu2 Sn2 Se8'
_cell_length_a 9.705
_cell_length_b 9.225
_cell_length_c 6.859
_cell_angle_alpha 90.00
_cell_angle_beta 134.93
_cell_angle_gamma 90.00
_space_group_name_H-M_alt 'C 1 2 1'
_space_group_IT_number 5
loop_
_space_group_symop_operation_xyz
'x,y,z'
'-x,y,-z'
'x+1/2,y+1/2,z'
'-x+1/2,y+1/2,-z'
loop_
_atom_site_label
_atom_site_type_symbol
_atom_site_fract_x
_atom_site_fract_y
_atom_site_fract_z
Na1 Na 0.000 0.000 0.000
Na2 Na 0.000 0.249 0.500
Cu1 Cu 0.000 0.750 0.500
Sn1 Sn 0.000 0.500 0.000
Se1 Se 0.199 0.644 0.946
Se2 Se 0.248 0.856 0.548
```

Values from the calculation:
DFT total energy ... -3.616 eV per atom

A plane-wave DFT calculation with PBE was carried out for an optimized crystal structure of ZnPH5C2N4O3.

Structure (CIF):
```
data_ZnPH5C2N4O3
_chemical_formula_sum 'Zn8 P8 H40 C16 N32 O24'
_cell_length_a 13.392
_cell_length_b 10.566
_cell_length_c 10.157
_cell_angle_alpha 90.00
_cell_angle_beta 116.16
_cell_angle_gamma 90.00
_space_group_name_H-M_alt 'C 1 2/c 1'
_space_group_IT_number 15
loop_
_space_group_symop_operation_xyz
'x,y,z'
'-x,-y,-z'
'-x,y,-z+1/2'
'x,-y,z+1/2'
'x+1/2,y+1/2,z'
'-x+1/2,-y+1/2,-z'
'-x+1/2,y+1/2,-z+1/2'
'x+1/2,-y+1/2,z+1/2'
loop_
_atom_site_label
_atom_site_type_symbol
_atom_site_fract_x
_atom_site_fract_y
_atom_site_fract_z
Zn1 Zn 0.087 0.145 0.458
P1 P 0.152 0.027 0.230
H1 H 0.107 0.302 0.113
H2 H 0.110 0.468 0.099
H3 H 0.115 0.173 0.939
H4 H 0.128 0.233 0.788
H5 H 0.241 0.426 0.734
C1 C 0.118 0.367 0.931
C2 C 0.124 0.421 0.393
N1 N 0.106 0.381 0.054
N2 N 0.121 0.251 0.883
N3 N 0.124 0.313 0.425
N4 N 0.125 0.466 0.850
O1 O 0.077 0.128 0.123
O2 O 0.138 0.014 0.372
O3 O 0.143 0.106 0.664
```

Values from the calculation:
DFT total energy ... -6.300 eV per atom
Excess energy over the best structure of this formula in the dataset ... 0.0079 eV/atom

A plane-wave DFT calculation with PBE was carried out for an optimized crystal structure of Cu2Ag3.

Structure (CIF):
```
data_Cu2Ag3
_chemical_formula_sum 'Cu4 Ag6'
_cell_length_a 6.270
_cell_length_b 6.270
_cell_length_c 3.970
_cell_angle_alpha 90.00
_cell_angle_beta 90.00
_cell_angle_gamma 90.00
_space_group_name_H-M_alt 'P 42/m'
_space_group_IT_number 84
loop_
_space_group_symop_operation_xyz
'x,y,z'
'-x,-y,-z'
'-y,x,z+1/2'
'y,-x,-z+1/2'
'-x,-y,z'
'x,y,-z'
'y,-x,z+1/2'
'-y,x,-z+1/2'
loop_
_atom_site_label
_atom_site_type_symbol
_atom_site_fract_x
_atom_site_fract_y
_atom_site_fract_z
Cu1 Cu 0.093 0.178 0.000
Ag1 Ag 0.000 0.500 0.500
Ag2 Ag 0.289 0.606 0.000
```

Values from the calculation:
DFT total energy ... -3.097 eV per atom
Excess energy over the best structure of this formula in the dataset ... 0.0523 eV/atom
Formation enthalpy at 0 K ... 84.6 meV per atom

A plane-wave DFT calculation with PBE was carried out for an optimized crystal structure of Ag5Au2.

Structure (CIF):
```
data_Ag5Au2
_chemical_formula_sum 'Ag20 Au8'
_cell_length_a 8.1911
_cell_length_b 8.1911
_cell_length_c 9.0294
_cell_angle_alpha 90.00
_cell_angle_beta 90.00
_cell_angle_gamma 120.00
_space_group_name_H-M_alt 'P 63/m m c'
_space_group_IT_number 194
_space_group_name_Hall '-P 6c 2c'
loop_
_atom_site_label
_atom_site_type_symbol
_atom_site_fract_x
_atom_site_fract_y
_atom_site_fract_z
Ag1 Ag 0.0000 0.0000 0.0000
Ag2 Ag 0.0759 0.5379 0.2500
Ag3 Ag 0.2080 0.4159 0.5222
Au1 Au 0.1138 0.2277 0.2500
Au2 Au 0.3333 0.6667 0.7500
```

Values from the calculation:
DFT total energy ... -2.897 eV per atom
Formation enthalpy at 0 K ... 54.1 meV per atom

A plane-wave DFT calculation with PBE was carried out for an optimized crystal structure of ZrCd2Au.

Structure (CIF):
```
data_ZrCd2Au
_chemical_formula_sum 'Zr4 Cd8 Au4'
_cell_length_a 6.847
_cell_length_b 6.847
_cell_length_c 6.847
_cell_angle_alpha 90.00
_cell_angle_beta 90.00
_cell_angle_gamma 90.00
_space_group_name_H-M_alt 'F -4 3 m'
_space_group_IT_number 216
_space_group_name_Hall 'F -4 2 3'
loop_
_atom_site_label
_atom_site_type_symbol
_atom_site_fract_x
_atom_site_fract_y
_atom_site_fract_z
Zr1 Zr 0.000 0.000 0.000
Cd1 Cd 0.000 0.000 0.500
Cd2 Cd 0.250 0.250 0.750
Au1 Au 0.250 0.250 0.250
```

Values from the calculation:
DFT total energy ... -3.650 eV per atom
Formation enthalpy at 0 K ... -249.2 meV per atom

A plane-wave DFT calculation with PBE was carried out for an optimized crystal structure of CdCoSnHg.

Structure (CIF):
```
data_CdCoSnHg
_chemical_formula_sum 'Cd4 Co4 Sn4 Hg4'
_cell_length_a 6.814
_cell_length_b 6.814
_cell_length_c 6.814
_cell_angle_alpha 90.00
_cell_angle_beta 90.00
_cell_angle_gamma 90.00
_space_group_name_H-M_alt 'F -4 3 m'
_space_group_IT_number 216
_space_group_name_Hall 'F -4 2 3'
loop_
_atom_site_label
_atom_site_type_symbol
_atom_site_fract_x
_atom_site_fract_y
_atom_site_fract_z
Cd1 Cd 0.000 0.000 0.000
Co1 Co 0.000 0.000 0.500
Sn1 Sn 0.250 0.250 0.250
Hg1 Hg 0.250 0.250 0.750
```

Values from the calculation:
DFT total energy ... -2.654 eV per atom
Excess energy over the best structure of this formula in the dataset ... 0.0000 eV/atom

A plane-wave DFT calculation with PBE was carried out for an optimized crystal structure of SmAsN2O.

Structure (CIF):
```
data_SmAsN2O
_chemical_formula_sum 'Sm1 As1 N2 O1'
_cell_length_a 3.813
_cell_length_b 3.813
_cell_length_c 3.863
_cell_angle_alpha 90.00
_cell_angle_beta 90.00
_cell_angle_gamma 90.00
_space_group_name_H-M_alt 'P 4/m m m'
_space_group_IT_number 123
_space_group_name_Hall '-P 4 2'
loop_
_atom_site_label
_atom_site_type_symbol
_atom_site_fract_x
_atom_site_fract_y
_atom_site_fract_z
Sm1 Sm 0.000 0.000 0.000
As1 As 0.500 0.500 0.500
N1 N 0.000 0.500 0.500
O1 O 0.500 0.500 0.000
```

Values from the calculation:
DFT total energy ... -6.873 eV per atom

A plane-wave DFT calculation with PBE was carried out for an optimized crystal structure of TlCuOsPt.

Structure (CIF):
```
data_TlCuOsPt
_chemical_formula_sum 'Tl4 Cu4 Os4 Pt4'
_cell_length_a 6.392
_cell_length_b 6.392
_cell_length_c 6.392
_cell_angle_alpha 90.00
_cell_angle_beta 90.00
_cell_angle_gamma 90.00
_space_group_name_H-M_alt 'F -4 3 m'
_space_group_IT_number 216
_space_group_name_Hall 'F -4 2 3'
loop_
_atom_site_label
_atom_site_type_symbol
_atom_site_fract_x
_atom_site_fract_y
_atom_site_fract_z
Tl1 Tl 0.000 0.000 0.000
Cu1 Cu 0.250 0.250 0.250
Os1 Os 0.250 0.250 0.750
Pt1 Pt 0.000 0.000 0.500
```

Values from the calculation:
DFT total energy ... -5.227 eV per atom
Excess energy over the best structure of this formula in the dataset ... 0.0000 eV/atom

A plane-wave DFT calculation with PBE was carried out for an optimized crystal structure of MgNiGe.

Structure (CIF):
```
data_MgNiGe
_chemical_formula_sum 'Mg4 Ni4 Ge4'
_cell_length_a 6.486
_cell_length_b 4.089
_cell_length_c 6.947
_cell_angle_alpha 90.00
_cell_angle_beta 90.00
_cell_angle_gamma 90.00
_space_group_name_H-M_alt 'P n m a'
_space_group_IT_number 62
loop_
_space_group_symop_operation_xyz
'x,y,z'
'-x,-y,-z'
'-x+1/2,-y,z+1/2'
'x+1/2,y,-z+1/2'
'x+1/2,-y+1/2,-z+1/2'
'-x+1/2,y+1/2,z+1/2'
'-x,y+1/2,-z'
'x,-y+1/2,z'
loop_
_atom_site_label
_atom_site_type_symbol
_atom_site_fract_x
_atom_site_fract_y
_atom_site_fract_z
Mg1 Mg 0.002 0.250 0.188
Ni1 Ni 0.154 0.750 0.446
Ge1 Ge 0.211 0.250 0.619
```

Values from the calculation:
DFT total energy ... -4.291 eV per atom

A plane-wave DFT calculation with PBE was carried out for an optimized crystal structure of ErCuGeTeSe2.

Structure (CIF):
```
data_ErCuGeTeSe2
_chemical_formula_sum 'Er4 Cu4 Ge4 Te4 Se8'
_cell_length_a 3.953
_cell_length_b 13.439
_cell_length_c 10.956
_cell_angle_alpha 90.00
_cell_angle_beta 90.00
_cell_angle_gamma 90.00
_space_group_name_H-M_alt 'C m c m'
_space_group_IT_number 63
_space_group_name_Hall '-C 2c 2'
loop_
_atom_site_label
_atom_site_type_symbol
_atom_site_fract_x
_atom_site_fract_y
_atom_site_fract_z
Er1 Er 0.000 0.000 0.000
Cu1 Cu 0.000 0.471 0.250
Ge1 Ge 0.000 0.194 0.750
Te1 Te 0.000 0.102 0.250
Se1 Se 0.000 0.359 0.071
```

Values from the calculation:
DFT total energy ... -4.570 eV per atom

A plane-wave DFT calculation with PBE was carried out for an optimized crystal structure of Ta4CoSnC2.

Structure (CIF):
```
data_Ta4CoSnC2
_chemical_formula_sum 'Ta4 Co1 Sn1 C2'
_cell_length_a 3.1446
_cell_length_b 3.1446
_cell_length_c 13.5424
_cell_angle_alpha 90.00
_cell_angle_beta 90.00
_cell_angle_gamma 120.00
_space_group_name_H-M_alt 'P -6 m 2'
_space_group_IT_number 187
_space_group_name_Hall 'P -6 2'
loop_
_atom_site_label
_atom_site_type_symbol
_atom_site_fract_x
_atom_site_fract_y
_atom_site_fract_z
Ta1 Ta 0.0000 0.0000 0.1410
Ta2 Ta 0.3333 0.6667 0.3251
Co1 Co 0.3333 0.6667 0.0000
Sn1 Sn 0.0000 0.0000 0.5000
C1 C 0.6667 0.3333 0.2332
```

Values from the calculation:
DFT total energy ... -9.924 eV per atom

A plane-wave DFT calculation with PBE was carried out for an optimized crystal structure of Nd2Ho2CI3Br2.

Structure (CIF):
```
data_Nd2Ho2CI3Br2
_chemical_formula_sum 'Nd4 Ho4 C2 I6 Br4'
_cell_length_a 18.382
_cell_length_b 3.953
_cell_length_c 8.589
_cell_angle_alpha 90.00
_cell_angle_beta 103.13
_cell_angle_gamma 90.00
_space_group_name_H-M_alt 'C 1 2/m 1'
_space_group_IT_number 12
loop_
_space_group_symop_operation_xyz
'x,y,z'
'-x,-y,-z'
'-x,y,-z'
'x,-y,z'
'x+1/2,y+1/2,z'
'-x+1/2,-y+1/2,-z'
'-x+1/2,y+1/2,-z'
'x+1/2,-y+1/2,z'
loop_
_atom_site_label
_atom_site_type_symbol
_atom_site_fract_x
_atom_site_fract_y
_atom_site_fract_z
Nd1 Nd 0.141 0.000 0.067
Ho1 Ho 0.001 0.500 0.812
C1 C 0.000 0.000 0.000
I1 I 0.000 0.000 0.500
I2 I 0.166 0.500 0.357
Br1 Br 0.164 0.500 0.821
```

Values from the calculation:
DFT total energy ... -4.808 eV per atom
Excess energy over the best structure of this formula in the dataset ... 0.0162 eV/atom